(1)
Compound: Pm3PrSe4
Source: Alexandria
Functional: PBE
Structure: relaxed

Geometry as POSCAR:
```
Pm3PrSe4
1.0
-4.343 -2.132 -3.484
-1.257 -4.141 4.101
-3.886 3.722 2.567
Se Pm Pr
4 3 1
Cartesian
-2.171 -1.066 -1.742
-0.628 -2.070 2.050
-4.743 -1.276 1.592
-1.943 1.861 1.283
-2.572 -0.210 3.334
-2.800 -3.137 0.309
-4.115 0.795 -0.459
0.000 0.000 0.000
```

Results
The calculation puts the formation energy (no corrections) at -176.1 kJ per mole of atoms. Its total moment is 0.000 μB per formula unit. As for the total energy: -5.95 eV/atom.

=====

(2)
Compound: Pm2Pr3Se8
Source: Alexandria
Functional: PBE
Structure: relaxed

Geometry as POSCAR:
```
Pm2Pr3Se8
1.0
-4.873 -1.559 -5.134
6.258 -3.006 -5.027
-2.264 -4.254 7.034
Pm Se Pr
2 8 3
Cartesian
0.343 -5.286 -3.719
-1.222 -3.534 0.592
-1.078 -4.320 -6.066
-0.540 -6.008 -0.943
0.199 -4.499 2.938
-3.848 -4.419 1.715
2.969 -4.400 -4.843
-0.339 -2.811 -2.185
-4.333 -2.836 -3.698
3.454 -5.983 0.570
1.648 -0.791 -1.324
4.610 -2.215 -3.704
-2.437 -0.779 -2.567
```

Results
The calculation puts the formation energy (no corrections) at -162.4 kJ per mole of atoms. Its total moment is 0.000 μB per formula unit. As for the total energy: -5.66 eV/atom.

=====

(3)
Compound: Pm3Pr2Se8
Source: Alexandria
Functional: PBE
Structure: relaxed

Geometry as POSCAR:
```
Pm3Pr2Se8
1.0
7.201 0.000 0.197
0.000 8.541 0.000
-2.688 -4.270 6.845
Se Pm Pr
8 3 2
Cartesian
2.321 2.006 1.763
2.192 2.264 5.278
2.321 6.535 1.763
-1.469 0.000 5.176
2.192 -2.264 5.278
5.982 4.270 1.865
-1.529 4.270 5.258
6.042 0.000 1.783
0.000 6.299 0.000
0.000 2.242 0.000
3.601 0.000 0.098
3.457 4.270 3.394
1.056 0.000 3.648
```

Results
The calculation puts the formation energy (no corrections) at -164.8 kJ per mole of atoms. Its total moment is 0.000 μB per formula unit. As for the total energy: -5.68 eV/atom.